Entry 1:
Ac2Ag2Au15: optimized geometry, GGA-PBE.

abc: 9.6909 9.6909 14.5106
angles: 90.00 90.00 120.00
Closest atoms and distances in Å follow each position.
Space group R-3m (No. 166, hexagonal axes)
Asymmetric unit:
Ac 0.0000 0.0000 0.1601 x6  18 Au 3.40-3.76, 1 Ag 3.52
Ag 0.0000 0.0000 0.4024 x6  1 Ag 2.83, 6 Au 2.97-3.11
Au 0.0000 0.3006 0.5000 x18  8 Au 2.84-3.05
Au 0.0000 0.5000 0.0000 x9  8 Au 2.84, 2 Ag 2.97
Au 0.0064 0.5032 0.6501 x18  8 Au 2.79-3.05, 1 Ag 3.11

Properties
- Raw total energy: -3.647 eV/atom

=====

Entry 2:
Ac3Ag3Au8: optimized geometry, GGA-PBE.

abc: 4.7827 9.6518 14.2758
angles: 90.00 90.00 90.00
Closest atoms and distances in Å follow each position.
Space group Immm (No. 71)
Asymmetric unit:
Ac 0.0000 0.0000 0.0000 x2  12 Au 3.35-3.57
Ac 0.0000 0.0000 0.2918 x4  12 Au 3.34-3.60, 2 Ag 3.42
Ag 0.0000 0.1756 0.5000 x4  6 Au 2.87-3.06, 2 Ag 2.93
Ag 0.0000 0.5000 0.0000 x2  4 Au 2.78, 4 Ag 2.93
Au 0.0000 0.2877 0.1314 x8  3 Ag 2.78-3.06, 3 Au 2.80-3.07
Au 0.0000 0.3570 0.3411 x8  4 Au 2.76-3.07, 1 Ag 2.87

Properties
- Raw total energy: -3.931 eV/atom

=====

Entry 3:
Ac3Ag4Au4: optimized geometry, GGA-PBE.

abc: 4.0599 4.6077 15.3525
angles: 81.48 82.55 89.95
Closest atoms and distances in Å follow each position.
Space group P-1 (No. 2)
Asymmetric unit:
Ac 0.0000 0.0000 0.0000 x1  8 Au 3.37-3.39, 4 Ag 3.54-3.56
Ac 0.1471 0.6463 0.7069 x2  6 Au 3.31-3.62, 6 Ag 3.41-3.62
Ag 0.2540 0.2543 0.4915 x2  4 Au 2.84-2.88, 4 Ag 3.08
Ag 0.4031 0.9036 0.1935 x2  3 Au 2.75-2.76
Au 0.3107 0.8114 0.3767 x2  5 Ag 2.76-2.88
Au 0.4520 0.4527 0.0941 x2  2 Ag 2.75, 1 Au 2.83

Properties
- Raw total energy: -3.869 eV/atom

=====

Entry 4:
Ac2AgAu3: optimized geometry, GGA-PBE.

abc: 4.2860 4.2939 18.0027
angles: 90.00 90.00 90.00
Closest atoms and distances in Å follow each position.
Space group Imm2 (No. 44)
Asymmetric unit:
Ac 0.0000 0.0000 0.0000 x2  4 Au 3.28, 4 Ag 3.39
Ac 0.0000 0.5000 0.2559 x2  8 Au 3.34
Ag 0.0000 0.0000 0.5844 x2  3 Au 2.73-2.77
Au 0.0000 0.0000 0.4305 x2  1 Ag 2.77, 2 Au 2.77
Au 0.0000 0.5000 0.6777 x2  2 Ag 2.73, 1 Au 2.79
Au 0.0000 0.5000 0.8329 x2  3 Au 2.77-2.79

Properties
- Raw total energy: -4.165 eV/atom

=====

Entry 5:
Ac3Ag9Au2: optimized geometry, GGA-PBE.

abc: 4.7819 9.9525 13.9509
angles: 90.00 90.00 90.00
Closest atoms and distances in Å follow each position.
Space group Immm (No. 71)
Asymmetric unit:
Ac 0.0000 0.0000 0.0000 x2  4 Ag 3.24
Ac 0.0000 0.0000 0.3170 x4  2 Au 3.37, 12 Ag 3.37-3.57
Ag 0.0000 0.2761 0.1233 x8  4 Ag 2.82-2.88, 2 Au 2.95
Ag 0.0000 0.3590 0.3208 x8  4 Ag 2.81-2.88, 1 Au 2.85
Ag 0.0000 0.5000 0.0000 x2  4 Ag 2.82
Au 0.0000 0.2214 0.5000 x4  6 Ag 2.85-2.95

Properties
- Raw total energy: -3.482 eV/atom

=====

Entry 6:
Ac2AgAu: optimized geometry, GGA-PBE.

abc: 6.3540 4.9973 8.4730
angles: 90.00 110.74 90.00
Closest atoms and distances in Å follow each position.
Space group P2_1/m (No. 11)
Asymmetric unit:
Ac 0.2222 0.2500 0.4307 x2  4 Au 3.33-3.38, 3 Ag 3.33-3.36
Ac 0.2291 0.2500 0.9273 x2  3 Au 3.32-3.33, 4 Ag 3.35-3.36
Ag 0.3367 0.7500 0.2092 x2  2 Au 3.15, 7 Ac 3.33-3.36
Au 0.3401 0.7500 0.7085 x2  2 Ag 3.15, 7 Ac 3.32-3.38

Properties
- Raw total energy: -4.129 eV/atom

=====

Entry 7:
Ac2Ag5Au5: optimized geometry, GGA-PBE.

abc: 4.7944 5.6606 9.9001
angles: 90.00 90.00 90.00
Closest atoms and distances in Å follow each position.
Space group Pmmm (No. 47)
Asymmetric unit:
Ac 0.0000 0.0000 0.0000 x1  6 Au 3.29-3.30
Ac 0.0000 0.5000 0.5000 x1  6 Au 3.28
Ag 0.5000 0.0000 0.5000 x1  4 Ag 2.85, 4 Au 2.91
Ag 0.5000 0.2497 0.2505 x4  3 Ag 2.83-2.85, 5 Au 2.86-2.90
Au 0.0000 0.0000 0.3329 x2  6 Ag 2.90-2.91
Au 0.0000 0.5000 0.1690 x2  4 Ag 2.90, 2 Au 2.92
Au 0.5000 0.5000 0.0000 x1  4 Ag 2.86, 4 Au 2.92

Properties
- Raw total energy: -3.631 eV/atom

=====

Entry 8:
Ac3Ag2Au2: optimized geometry, GGA-PBE.

abc: 11.3743 4.5057 8.8779
angles: 90.00 104.29 90.00
Closest atoms and distances in Å follow each position.
Space group C2/m (No. 12)
Asymmetric unit:
Ac 0.0000 0.0000 0.0000 x2  6 Au 3.24-3.52, 2 Ag 3.29
Ac 0.1655 0.5000 0.6753 x4  3 Au 3.21-3.49, 5 Ag 3.24-3.42
Ag 0.0643 0.0000 0.3817 x4  1 Ag 2.84
Au 0.2113 0.5000 0.0793 x4  2 Au 2.91, 4 Ac 3.21-3.24

Properties
- Raw total energy: -3.976 eV/atom

=====

Entry 9:
AcAg6Au2: optimized geometry, GGA-PBE.

abc: 10.5037 5.8557 6.4415
angles: 90.00 98.96 90.00
Closest atoms and distances in Å follow each position.
Space group C2/m (No. 12)
Asymmetric unit:
Ac 0.0000 0.0000 0.0000 x2  8 Ag 3.20-3.54, 4 Au 3.23
Ag 0.0000 0.2509 0.5000 x4  6 Ag 2.92-2.97, 2 Au 3.04
Ag 0.2285 0.2673 0.2867 x8  4 Ag 2.72-2.97, 2 Au 2.76-2.93
Au 0.1072 0.5000 0.9040 x4  1 Au 2.73, 6 Ag 2.76-3.04

Properties
- Raw total energy: -3.171 eV/atom

=====

Entry 10:
AcAg4Au8: optimized geometry, GGA-PBE.

abc: 9.5525 9.5525 5.6930
angles: 90.00 90.00 90.00
Closest atoms and distances in Å follow each position.
Space group I4/mmm (No. 139)
Asymmetric unit:
Ac 0.0000 0.0000 0.0000 x2  12 Au 3.32-3.52, 8 Ag 3.66
Ag 0.2500 0.2500 0.2500 x8  8 Au 2.80-2.93, 2 Ag 2.85
Au 0.0000 0.2176 0.5000 x8  4 Ag 2.80, 6 Au 2.94-3.11
Au 0.0000 0.3480 0.0000 x8  5 Au 2.90-3.11, 4 Ag 2.93

Properties
- Raw total energy: -3.426 eV/atom

=====

Entry 11:
AcAgAu11: optimized geometry, GGA-PBE.

abc: 5.7359 13.4840 7.3002
angles: 90.00 112.36 90.00
Closest atoms and distances in Å follow each position.
Space group C2/m (No. 12)
Asymmetric unit:
Ac 0.0000 0.0000 0.0000 x2  18 Au 3.33-3.69, 2 Ag 3.65
Ag 0.0000 0.0000 0.5000 x2  10 Au 2.81-2.90
Au 0.0000 0.5000 0.5000 x2  8 Au 2.78-2.97, 2 Ag 2.87
Au 0.1074 0.3918 0.2177 x8  8 Au 2.78-3.10, 1 Ag 2.81
Au 0.1648 0.1740 0.3497 x8  8 Au 2.89-3.17, 1 Ag 2.90
Au 0.2500 0.2500 0.0000 x4  10 Au 2.80-2.96

Properties
- Raw total energy: -3.540 eV/atom

=====

Entry 12:
Ac6Ag2Au: optimized geometry, GGA-PBE.

abc: 7.0976 8.4607 13.0948
angles: 90.00 120.82 90.00
Closest atoms and distances in Å follow each position.
Space group P2_1/c (No. 14)
Asymmetric unit:
Ac 0.0833 0.2059 0.4311 x4  1 Au 3.14, 2 Ag 3.28-3.33
Ac 0.2832 0.6615 0.4391 x4  1 Au 3.15, 2 Ag 3.33-3.35
Ac 0.3949 0.0509 0.2387 x4  1 Au 3.14, 2 Ag 3.30-3.31
Ag 0.1523 0.1111 0.7275 x4  6 Ac 3.28-3.35
Au 0.5000 0.0000 0.5000 x2  6 Ac 3.14-3.15

Properties
- Raw total energy: -3.963 eV/atom

=====

Energy of formation
In order: -0.327; -0.566; -0.520; -0.681; -0.301; -0.542; -0.393; -0.464; -0.086; -0.216; -0.231; -0.227
Unit: eV per atom